Density functional theory data (PBE-GGA) for MnAl2Pb after structural relaxation.

The value obtained for the density of states at the Fermi level is 0.6172 states/eV per atom. As for the space-group type: P4/mmm (123). Its total magnetization is 1.300 μB/f.u. For the volume, the calculation gives 18.72 Å³ per atom. Its formation energy from the elements is 0.103 eV per atom.

Cell lengths 3.009, 3.009, 8.272 Å; angles 90.00, 90.00, 90.01 degrees
Positions (direct):
Pb  0.500  0.500  0.750
Mn  0.500  0.500  0.250
Al  0.000  0.000  0.084
Al  0.000  0.000  0.416